Entry 1:
VASP calculation (PBE) on a relaxed ZrCr3Se crystal.

For the polymorph energy (0 for the lowest one), the calculation gives 0.00 eV per formula unit. The mass density is 6.1 Mg/m³. The value obtained for the total energy is -7.560 eV/atom. Its magnetization is 5.140 μB per cell. The formation energy from raw total energies comes out at 621 meV per atom.

The structure belongs to space group Pm-3m (No. 221); the cell edges are 4.4501, 4.4501 and 4.4501 Å and the angles 90.00°, 90.00° and 90.00°. The asymmetric unit holds Zr at (0.0000, 0.0000, 0.0000), Cr at (0.0000, 0.5000, 0.5000) and Se at (0.5000, 0.5000, 0.5000).

Entry 2:
VASP calculation (PBE) on a relaxed ZrCrSe crystal.

For the polymorph energy (0 for the lowest one), the calculation gives 1.82 eV per formula unit. The mass density is 5.5 Mg/m³. The value obtained for the total energy is -6.850 eV/atom. Its magnetization is 14.747 μB per cell. The formation energy from raw total energies comes out at 368 meV per atom.

The structure belongs to space group F-43m (No. 216); the cell edges are 6.4379, 6.4379 and 6.4379 Å and the angles 90.00°, 90.00° and 90.00°. The asymmetric unit holds Zr at (0.0000, 0.0000, 0.0000), Cr at (0.2500, 0.2500, 0.7500) and Se at (0.2500, 0.2500, 0.2500).

Entry 3:
VASP calculation (PBE) on a relaxed ZrCr4Se crystal.

The mass density is 7.3 Mg/m³. The value obtained for the total energy is -8.173 eV/atom. Its magnetization is 0.000 μB per cell. The formation energy from raw total energies comes out at 248 meV per atom.

The structure belongs to space group F-43m (No. 216); the cell edges are 7.0034, 7.0034 and 7.0034 Å and the angles 90.00°, 90.00° and 90.00°. The asymmetric unit holds Zr at (0.0000, 0.0000, 0.0000), Cr at (0.1245, 0.1245, 0.3755) and Se at (0.2500, 0.2500, 0.7500).

Q: Among the records above, which one has the highest formation energy from raw total energies?
A: ZrCr3Se

Q: Look up the formation energy from raw total energies of the third one.
A: 248 meV per atom

Q: Look up the magnetization of the first one.
A: 5.140 μB per cell